a | Tb2YRu: optimized geometry, GGA-PBE.

a b c (Å): 3.4435 3.4435 9.0031
angles (deg): 90.00 90.00 90.00
Space group P4/mmm (No. 123)
Asymmetric unit:
Tb  0.0000  0.0000  0.1841
Y  0.5000  0.5000  0.5000
Ru  0.5000  0.5000  0.0000

Values from the calculation:
- crystal system = tetragonal

b | Tb2YRu: optimized geometry, GGA-PBE.

a b c (Å): 7.3428 9.2376 6.3233
angles (deg): 90.00 90.00 90.00
Space group Pnma (No. 62)
Asymmetric unit:
Tb  0.1767  0.0643  0.1679
Y  0.0404  0.2500  0.6330
Ru  0.1143  0.7500  0.9559

Values from the calculation:
- crystal system = orthorhombic

c | Tb2YRu: optimized geometry, GGA-PBE.

a b c (Å): 3.5245 3.5245 31.9426
angles (deg): 90.00 90.00 120.00
Space group R-3m (No. 166, hexagonal axes)
Asymmetric unit:
Tb  0.0000  0.0000  0.1073
Y  0.0000  0.0000  0.0000
Ru  0.0000  0.0000  0.5000

Values from the calculation:
- crystal system = trigonal

d | Tb2YRu: optimized geometry, GGA-PBE.

a b c (Å): 3.9633 11.8869 9.1025
angles (deg): 90.00 90.00 90.00
Space group Cmcm (No. 63)
Asymmetric unit:
Tb  0.0000  0.1430  0.0670
Y  0.0000  0.4245  0.2500
Ru  0.0000  0.2439  0.7500

Values from the calculation:
- crystal system = orthorhombic

Of them, c has the lowest stability.

a | Tb8Zn2Ru: optimized geometry, GGA-PBE.

a b c (Å): 4.9324 8.3736 13.9812
angles (deg): 90.00 90.00 90.00
Space group Immm (No. 71)
Asymmetric unit:
Tb  0.0000  0.0000  0.1218
Tb  0.0000  0.2248  0.3440
Tb  0.0000  0.3321  0.0000
Zn  0.0000  0.5000  0.1968
Ru  0.0000  0.5000  0.5000

Values from the calculation:
- crystal system = orthorhombic

b | Tb8Zn2Ru: optimized geometry, GGA-PBE.

a b c (Å): 17.4199 5.1811 6.7913
angles (deg): 90.00 107.22 90.00
Space group C2/m (No. 12)
Asymmetric unit:
Tb  0.0267  0.0000  0.2884
Tb  0.0904  0.5000  0.9345
Tb  0.1591  0.5000  0.4652
Tb  0.1979  0.0000  0.8079
Zn  0.1856  0.0000  0.2182
Ru  0.0000  0.5000  0.5000

Values from the calculation:
- crystal system = monoclinic

Of them, a has the lowest stability.

a | Tb4ZnRu: optimized geometry, GGA-PBE.

a b c (Å): 13.4650 13.4650 13.4650
angles (deg): 90.00 90.00 90.00
Space group F-43m (No. 216)
Asymmetric unit:
Tb  0.0000  0.0000  0.1878
Tb  0.0577  0.2500  0.7500
Tb  0.0996  0.0996  0.4004
Zn  0.1730  0.1730  0.1730
Ru  0.1109  0.1109  0.6109

Values from the calculation:
- crystal system = cubic

b | Tb4ZnRu: optimized geometry, GGA-PBE.

a b c (Å): 6.8831 6.8833 6.9408
angles (deg): 90.00 90.13 90.00
Space group C2/m (No. 12)
Asymmetric unit:
Tb  0.2496  0.2500  0.2390
Zn  0.0000  0.0000  0.5000
Ru  0.0000  0.5000  0.0000

Values from the calculation:
- crystal system = monoclinic

Of them, b has the lowest stability.

a | TcRu2: optimized geometry, GGA-PBE.

a b c (Å): 2.7134 3.8383 8.1532
angles (deg): 90.00 90.00 90.00
Space group Immm (No. 71)
Asymmetric unit:
Tc  0.0000  0.0000  0.0000
Ru  0.0000  0.0000  0.3337

Values from the calculation:
- crystal system = orthorhombic

b | TcRu2: optimized geometry, GGA-PBE.

a b c (Å): 2.7436 14.2076 4.3357
angles (deg): 90.00 90.00 90.00
Space group Cmcm (No. 63)
Asymmetric unit:
Tc  0.0000  0.1115  0.2500
Ru  0.0000  0.2224  0.7500
Ru  0.0000  0.4433  0.2500

Values from the calculation:
- crystal system = orthorhombic

Of them, a has the lowest stability.

a | TcRu2: optimized geometry, GGA-PBE.

a b c (Å): 7.3551 7.3551 2.7381
angles (deg): 90.00 90.00 120.00
Space group P-62m (No. 189)
Asymmetric unit:
Tc  0.0000  0.0000  0.0000
Tc  0.3333  0.6667  0.5000
Ru  0.0000  0.3018  0.5000
Ru  0.0000  0.6409  0.0000

Values from the calculation:
- crystal system = hexagonal

b | TcRu2: optimized geometry, GGA-PBE.

a b c (Å): 4.2575 4.2575 2.8231
angles (deg): 90.00 90.00 90.00
Space group P4/mmm (No. 123)
Asymmetric unit:
Tc  0.0000  0.0000  0.0000
Ru  0.0000  0.5000  0.5000

Values from the calculation:
- crystal system = tetragonal

c | TcRu2: optimized geometry, GGA-PBE.

a b c (Å): 5.0702 5.0702 8.0201
angles (deg): 90.00 90.00 120.00
Space group P6_3/mmc (No. 194)
Asymmetric unit:
Tc  0.3333  0.6667  0.0859
Ru  0.0000  0.0000  0.0000
Ru  0.1746  0.3491  0.7500

Values from the calculation:
- crystal system = hexagonal

d | TcRu2: optimized geometry, GGA-PBE.

a b c (Å): 6.1214 6.1214 4.8068
angles (deg): 90.00 90.00 90.00
Space group I4/mcm (No. 140)
Asymmetric unit:
Tc  0.0000  0.0000  0.2500
Ru  0.1416  0.3584  0.0000

Values from the calculation:
- crystal system = tetragonal

Of them, b has the lowest stability.

a | TcRu2: optimized geometry, GGA-PBE.

a b c (Å): 5.4344 5.4320 11.8230
angles (deg): 90.00 103.25 90.00
Space group C2/c (No. 15)
Asymmetric unit:
Tc  0.0843  0.1264  0.4166
Ru  0.0834  0.3758  0.9166
Ru  0.2504  0.1251  0.7504

Values from the calculation:
- crystal system = monoclinic

b | TcRu2: optimized geometry, GGA-PBE.

a b c (Å): 9.8770 2.7383 6.4298
angles (deg): 90.00 103.63 90.00
Space group Cm (No. 8)
Asymmetric unit:
Tc  0.0000  0.0000  0.0000
Tc  0.1681  0.5000  0.3357
Ru  0.1121  0.5000  0.7227
Ru  0.2779  0.0000  0.0569
Ru  0.3342  0.0000  0.6671
Ru  0.4453  0.5000  0.3888

Values from the calculation:
- crystal system = monoclinic

c | TcRu2: optimized geometry, GGA-PBE.

a b c (Å): 4.2936 4.2936 5.4049
angles (deg): 90.00 90.00 120.00
Space group P6_3/mmc (No. 194)
Asymmetric unit:
Tc  0.3333  0.6667  0.2500
Ru  0.0000  0.0000  0.0000
Ru  0.3333  0.6667  0.7500

Values from the calculation:
- crystal system = hexagonal

Of them, c has the lowest stability.

a | Tc3Ru5: optimized geometry, GGA-PBE.

a b c (Å): 7.6581 7.6625 3.8657
angles (deg): 90.00 90.00 90.00
Space group Cmmm (No. 65)
Asymmetric unit:
Tc  0.0000  0.0000  0.0000
Tc  0.0000  0.2514  0.5000
Ru  0.0000  0.5000  0.0000
Ru  0.2488  0.5000  0.5000
Ru  0.2500  0.2500  0.0000

Values from the calculation:
- crystal system = orthorhombic

b | Tc3Ru5: optimized geometry, GGA-PBE.

a b c (Å): 5.0785 13.6122 7.1298
angles (deg): 90.00 107.92 90.00
Space group Cm (No. 8)
Asymmetric unit:
Tc  0.0000  0.0000  0.0000
Tc  0.0122  0.3249  0.6778
Tc  0.3567  0.5000  0.3072
Tc  0.4132  0.2758  0.0690
Ru  0.0248  0.4059  0.0227
Ru  0.0471  0.1486  0.7837
Ru  0.2368  0.5000  0.6069
Ru  0.2821  0.0000  0.6715
Ru  0.2875  0.1074  0.3236
Ru  0.3100  0.3098  0.3988

Values from the calculation:
- crystal system = monoclinic

Of them, b has the lowest stability.

a | Tc5Ru3: optimized geometry, GGA-PBE.

a b c (Å): 7.5721 7.5721 4.8097
angles (deg): 90.00 90.00 120.00
Space group P6_3/mcm (No. 193)
Asymmetric unit:
Tc  0.0000  0.2044  0.2500
Tc  0.3333  0.6667  0.0000
Ru  0.0000  0.4132  0.7500

Values from the calculation:
- crystal system = hexagonal

b | Tc5Ru3: optimized geometry, GGA-PBE.

a b c (Å): 4.8942 13.2006 7.5380
angles (deg): 90.00 104.73 90.00
Space group C2/m (No. 12)
Asymmetric unit:
Tc  0.0905  0.1715  0.1983
Tc  0.0967  0.4030  0.3332
Tc  0.2488  0.5000  0.9841
Ru  0.0000  0.2260  0.5000
Ru  0.0000  0.3260  0.0000
Ru  0.1082  0.0000  0.3625

Values from the calculation:
- crystal system = monoclinic

Of them, a has the lowest stability.